(1)
Here is an optimized crystal structure of Ca4RuBr from Alexandria via LeMat-Bulk. Energies are from PBE.

Cell and atoms, written as POSCAR:
```
Ca4RuBr
1.0
0.0000 4.5963 4.5963
4.5963 0.0000 4.5963
4.5963 4.5963 0.0000
Ca Ru Br
4 1 1
Direct
0.3765 0.8706 0.3765
0.8706 0.3765 0.3765
0.3765 0.3765 0.3765
0.3765 0.3765 0.8706
0.7500 0.7500 0.7500
0.0000 0.0000 0.0000
```

## Properties
VASP energy: -2.56 eV/atom
SG: F-43m
Raw formation energy: 600.3 meV/atom
ρ: 2.92 g/cm³


(2)
Here is an optimized crystal structure of CaRuBr2 from Alexandria via LeMat-Bulk. Energies are from PBE.

Cell and atoms, written as POSCAR:
```
CaRuBr2
1.0
-2.9996 2.6875 -5.8682
-1.4521 -3.1358 -6.2221
-0.6033 0.1209 7.0907
Br Ru Ca
2 1 1
Direct
0.1141 0.1141 0.0000
0.3859 0.3859 0.0000
0.2500 0.7500 0.5000
0.7500 0.2500 0.5000
```

## Properties
VASP energy: -4.22 eV/atom
SG: Immm
E above lowest polymorph: 0.00 eV/f.u.
Raw formation energy: -566.3 meV/atom
ρ: 4.37 g/cm³


(3)
Here is an optimized crystal structure of CaRu2Br from Alexandria via LeMat-Bulk. Energies are from PBE.

Cell and atoms, written as POSCAR:
```
CaRu2Br
1.0
-2.1280 -1.7598 4.4260
-1.4217 -2.1069 -4.5557
2.3260 -2.1442 0.2658
Ca Ru Br
1 2 1
Direct
0.0000 0.5000 0.5000
0.0000 0.0000 0.0000
0.5000 0.5000 0.0000
0.5000 0.0000 0.5000
```

## Properties
VASP energy: -4.86 eV/atom
SG: Cmmm
E above lowest polymorph: 2.97 eV/f.u.
Raw formation energy: 692.9 meV/atom
ρ: 7.12 g/cm³


(4)
Here is an optimized crystal structure of CaRuBr2 from Alexandria via LeMat-Bulk. Energies are from PBE.

Cell and atoms, written as POSCAR:
```
CaRuBr2
1.0
7.9298 0.0617 0.0013
6.1209 5.0419 -0.0013
-6.9088 -2.8728 2.6271
Ca Br Ru
1 2 1
Direct
0.4309 0.4309 0.0000
0.7761 0.2761 0.5000
0.0250 0.0250 0.0000
0.2680 0.7680 0.5000
```

## Properties
VASP energy: -4.04 eV/atom
SG: Imm2
E above lowest polymorph: 0.74 eV/f.u.
Raw formation energy: -380.2 meV/atom
ρ: 4.80 g/cm³


(5)
Here is an optimized crystal structure of CaRuBr2 from Alexandria via LeMat-Bulk. Energies are from PBE.

Cell and atoms, written as POSCAR:
```
CaRuBr2
1.0
-0.2807 -2.9802 -1.7054
-1.2293 -2.0144 3.7225
-7.7411 0.5483 0.3160
Br Ru Ca
2 1 1
Direct
0.5000 0.1356 0.3480
0.0000 0.8565 0.9183
0.5000 0.9707 0.6846
0.0000 0.5372 0.5491
```

## Properties
VASP energy: -4.16 eV/atom
SG: Pm
E above lowest polymorph: 0.23 eV/f.u.
Raw formation energy: -508.6 meV/atom
ρ: 4.41 g/cm³


(6)
Here is an optimized crystal structure of CaRu2Br from Alexandria via LeMat-Bulk. Energies are from PBE.

Cell and atoms, written as POSCAR:
```
CaRu2Br
1.0
5.3776 0.0000 0.0000
0.0000 3.3384 -0.0048
0.0000 -0.0806 4.4224
Ca Ru Br
1 2 1
Direct
0.5000 0.7500 0.7500
0.0000 0.4012 0.5062
0.0000 0.0988 0.9938
0.5000 0.2500 0.2500
```

## Properties
VASP energy: -5.25 eV/atom
SG: P2/m
E above lowest polymorph: 1.44 eV/f.u.
Raw formation energy: 310.9 meV/atom
ρ: 6.74 g/cm³


(7)
Here is an optimized crystal structure of CaRuBr2 from Alexandria via LeMat-Bulk. Energies are from PBE.

Cell and atoms, written as POSCAR:
```
CaRuBr2
1.0
-3.6067 -4.0724 3.6221
1.3539 -6.0983 1.9211
2.3353 6.0881 -0.4404
Ca Br Ru
1 2 1
Direct
0.5000 0.5000 0.0000
0.2500 0.7500 0.5000
0.0000 0.0000 0.0000
0.7500 0.2500 0.5000
```

## Properties
VASP energy: -3.80 eV/atom
SG: I-4m2
E above lowest polymorph: 1.69 eV/f.u.
Raw formation energy: -143.1 meV/atom
ρ: 5.36 g/cm³


(8)
Here is an optimized crystal structure of CaRuBr2 from Alexandria via LeMat-Bulk. Energies are from PBE.

Cell and atoms, written as POSCAR:
```
CaRuBr2
1.0
-1.9471 3.9365 3.9401
0.7471 0.9290 5.7785
2.4380 4.2182 3.3279
Br Ru Ca
2 1 1
Direct
0.4886 0.4886 0.4886
0.0114 0.0114 0.0114
0.7500 0.7500 0.7500
0.2500 0.2500 0.2500
```

## Properties
VASP energy: -4.01 eV/atom
SG: R-3m
E above lowest polymorph: 0.86 eV/f.u.
Raw formation energy: -350.2 meV/atom
ρ: 5.52 g/cm³